Record 1
A plane-wave DFT calculation with PBE was carried out for crystalline VRuRh at its relaxed geometry.

* E_form: -0.182 eV per atom
* energy above the most stable polymorph in this dataset: 101 meV per atom
* D(E_F): 8.7 states/eV/cell
* total moment: 0.00 μB/atom
* uncorrected energy: -52.584 eV for the cell shown
* calculated density: 10.175 g/cm³

abc: 4.6723 4.2851 4.7293
angles: 90.00 118.51 90.00
Space group Pm (No. 6)
Unique sites:
V 0.0000 0.0000 0.0000 (multiplicity 1)
V 0.3681 0.5000 0.0318 (multiplicity 1)
Ru 0.0223 0.5000 0.3286 (multiplicity 1)
Ru 0.6672 0.0000 0.3215 (multiplicity 1)
Rh 0.3326 0.0000 0.6721 (multiplicity 1)
Rh 0.6854 0.5000 0.6778 (multiplicity 1)

Record 2
A plane-wave DFT calculation with PBE was carried out for crystalline NbPb3Br at its relaxed geometry.

* energy above the most stable polymorph in this dataset: 0 meV per atom
* D(E_F): 3.0 states/eV/cell
* total moment: 0.00 μB/atom
* uncorrected energy: -21.819 eV for the cell shown
* calculated density: 7.783 g/cm³
* ΔE_f (raw): 209.8 meV per atom

abc: 5.5340 5.5340 5.5340
angles: 90.00 90.00 90.00
Space group Pm-3m (No. 221)
Unique sites:
Nb 0.0000 0.0000 0.0000 (multiplicity 1)
Pb 0.0000 0.0000 0.5000 (multiplicity 3)
Br 0.5000 0.5000 0.5000 (multiplicity 1)

Record 3
A plane-wave DFT calculation with PBE was carried out for crystalline ZrAl3Rh at its relaxed geometry.

* E_form: -0.121 eV per atom
* energy above the most stable polymorph in this dataset: 561 meV per atom
* D(E_F): 3.6 states/eV/cell
* total moment: 0.00 μB/atom
* uncorrected energy: -27.731 eV for the cell shown
* calculated density: 4.681 g/cm³

abc: 4.6037 4.6037 4.6037
angles: 90.00 90.00 90.00
Space group Pm-3m (No. 221)
Unique sites:
Zr 0.0000 0.0000 0.0000 (multiplicity 1)
Al 0.0000 0.5000 0.5000 (multiplicity 3)
Rh 0.5000 0.5000 0.5000 (multiplicity 1)

Repeat the second record exactly.
A plane-wave DFT calculation with PBE was carried out for crystalline NbPb3Br at its relaxed geometry.

* energy above the most stable polymorph in this dataset: 0 meV per atom
* D(E_F): 3.0 states/eV/cell
* total moment: 0.00 μB/atom
* uncorrected energy: -21.819 eV for the cell shown
* calculated density: 7.783 g/cm³
* ΔE_f (raw): 209.8 meV per atom

abc: 5.5340 5.5340 5.5340
angles: 90.00 90.00 90.00
Space group Pm-3m (No. 221)
Unique sites:
Nb 0.0000 0.0000 0.0000 (multiplicity 1)
Pb 0.0000 0.0000 0.5000 (multiplicity 3)
Br 0.5000 0.5000 0.5000 (multiplicity 1)